# 1
Computed, not measured: crystalline Dy3Tm2Zn2 at its relaxed geometry at the GGA-PBE level of DFT.

Cell lengths 6.680, 6.680, 8.905 Å; angles 114.58, 114.58, 31.68 degrees
Atoms (fractional coordinates):
Dy  0.000  0.000  0.000
Dy  0.110  0.110  0.441
Dy  0.890  0.890  0.559
Tm  0.353  0.353  0.188
Tm  0.647  0.647  0.812
Zn  0.318  0.318  0.779
Zn  0.682  0.682  0.221

Output
ΔE to the lowest computed polymorph	0.0	meV/atom
energy of formation from the pure elements	-1.08	eV/f.u.
space group	C2/m, No. 12

# 2
Computed, not measured: crystalline K2Tl2F7 at its relaxed geometry at the GGA-PBE level of DFT.

Cell lengths 5.733, 5.733, 6.099 Å; angles 90.00, 90.00, 96.18 degrees
Atoms (fractional coordinates):
K  0.244  0.244  0.000
K  0.756  0.756  0.000
Tl  0.274  0.726  0.500
Tl  0.726  0.274  0.500
F  0.000  0.000  0.500
F  0.000  0.500  0.271
F  0.000  0.500  0.729
F  0.500  0.000  0.271
F  0.500  0.000  0.729
F  0.500  0.500  0.282
F  0.500  0.500  0.718

Output
raw formation energy	-2.17	eV per atom
space group	Cmmm, No. 65

# 3
Computed, not measured: crystalline Na2Zn2In at its relaxed geometry at the GGA-PBE level of DFT.

Cell lengths 10.512, 10.512, 10.512 Å; angles 160.71, 160.71, 27.41 degrees
Atoms (fractional coordinates):
Na  0.114  0.114  0.000
Na  0.886  0.886  0.000
Zn  0.250  0.750  0.500
Zn  0.750  0.250  0.500
In  0.500  0.500  0.000

Output
ΔE to the lowest computed polymorph	38.9	meV/atom
energy of formation from the pure elements	0.20	eV/f.u.
space group	I4/mmm, No. 139

# 4
Computed, not measured: crystalline SbMo2Cl at its relaxed geometry at the GGA-PBE level of DFT.

Cell lengths 4.615, 4.615, 3.225 Å; angles 90.00, 90.00, 90.00 degrees
Atoms (fractional coordinates):
Sb  0.000  0.000  0.000
Mo  0.000  0.500  0.500
Mo  0.500  0.000  0.500
Cl  0.500  0.500  0.000

Output
ΔE to the lowest computed polymorph	761.2	meV/atom
raw formation energy	0.66	eV per atom
space group	P4/mmm, No. 123

# 5
Computed, not measured: crystalline Bi7Pd5Pb at its relaxed geometry at the GGA-PBE level of DFT.

Cell lengths 8.248, 8.248, 8.248 Å; angles 137.07, 112.40, 83.50 degrees
Atoms (fractional coordinates):
Bi  0.000  0.000  0.000
Bi  0.080  0.756  0.324
Bi  0.335  0.335  0.000
Bi  0.432  0.756  0.676
Bi  0.445  0.139  0.305
Bi  0.834  0.139  0.695
Bi  0.874  0.374  0.500
Pd  0.195  0.206  0.517
Pd  0.195  0.677  0.988
Pd  0.464  0.964  0.500
Pd  0.689  0.206  0.012
Pd  0.689  0.677  0.483
Pb  0.591  0.591  0.000

Output
energy of formation from the pure elements	-1.77	eV/f.u.
space group	Imm2, No. 44

# 6
Computed, not measured: crystalline Zr2NpPt9 at its relaxed geometry at the GGA-PBE level of DFT.

Cell lengths 4.083, 4.083, 12.296 Å; angles 90.00, 90.00, 90.00 degrees
Atoms (fractional coordinates):
Zr  0.000  0.000  0.164
Zr  0.000  0.000  0.836
Np  0.000  0.000  0.500
Pt  0.000  0.500  0.000
Pt  0.000  0.500  0.325
Pt  0.000  0.500  0.675
Pt  0.500  0.000  0.000
Pt  0.500  0.000  0.325
Pt  0.500  0.000  0.675
Pt  0.500  0.500  0.162
Pt  0.500  0.500  0.500
Pt  0.500  0.500  0.838

Output
energy of formation from the pure elements	-10.59	eV/f.u.
space group	P4/mmm, No. 123

# 7
Computed, not measured: crystalline Ba2Li3Al12Cu at its relaxed geometry at the GGA-PBE level of DFT.

Cell lengths 10.527, 10.527, 10.527 Å; angles 37.90, 37.90, 37.90 degrees
Atoms (fractional coordinates):
Ba  0.152  0.152  0.152
Ba  0.848  0.848  0.848
Li  0.000  0.500  0.500
Li  0.500  0.000  0.500
Li  0.500  0.500  0.000
Al  0.083  0.083  0.689
Al  0.083  0.689  0.083
Al  0.165  0.558  0.558
Al  0.311  0.917  0.917
Al  0.442  0.442  0.835
Al  0.442  0.835  0.442
Al  0.558  0.165  0.558
Al  0.558  0.558  0.165
Al  0.689  0.083  0.083
Al  0.835  0.442  0.442
Al  0.917  0.311  0.917
Al  0.917  0.917  0.311
Cu  0.500  0.500  0.500

Output
energy of formation from the pure elements	0.72	eV/f.u.
space group	R-3m, No. 166

# 8
Computed, not measured: crystalline Li4TcNi at its relaxed geometry at the GGA-PBE level of DFT.

Cell lengths 4.751, 4.751, 4.751 Å; angles 60.00, 60.00, 60.00 degrees
Atoms (fractional coordinates):
Li  0.125  0.125  0.125
Li  0.125  0.125  0.626
Li  0.125  0.626  0.125
Li  0.626  0.125  0.125
Tc  0.500  0.500  0.500
Ni  0.750  0.750  0.750

Output
energy of formation from the pure elements	2.61	eV/f.u.
space group	F-43m, No. 216

Number 1: electronic total energy -3.769 eV per atom, DOS(E_F) 1.22 states/eV per atom, spin magnetization 0.00 Bohr magnetons per cell. Number 2: electronic total energy -3.991 eV per atom, DOS(E_F) 0.17 states/eV per atom, spin magnetization 0.00 Bohr magnetons per cell. Number 3: electronic total energy -1.546 eV per atom, DOS(E_F) 0.37 states/eV per atom, spin magnetization 0.00 Bohr magnetons per cell. Number 4: electronic total energy -6.246 eV per atom, DOS(E_F) 1.23 states/eV per atom, spin magnetization 0.00 Bohr magnetons per cell. Number 5: electronic total energy -4.508 eV per atom, DOS(E_F) 0.52 states/eV per atom, spin magnetization 0.00 Bohr magnetons per cell. Number 6: electronic total energy -7.917 eV per atom, DOS(E_F) 1.03 states/eV per atom, spin magnetization 3.30 Bohr magnetons per cell. Number 7: electronic total energy -3.215 eV per atom, DOS(E_F) 0.40 states/eV per atom, spin magnetization 0.00 Bohr magnetons per cell. Number 8: electronic total energy -3.531 eV per atom, DOS(E_F) 0.34 states/eV per atom, spin magnetization 2.54 Bohr magnetons per cell.